! CaIr3 | the Alexandria database | PBE | optimized geometry; values from VASP
&SYSTEM
  ibrav = 0, nat = 4, ntyp = 2
/
ATOMIC_SPECIES
Ir 192.22 Ir.upf
Ca 40.08 Ca.upf
CELL_PARAMETERS angstrom
-1.580 2.117 -1.036
-1.188 -1.793 -1.851
-5.958 -1.746 5.515
ATOMIC_POSITIONS angstrom
Ir -3.065 -0.330 0.112
Ir -5.661 -1.092 2.515
Ir -2.979 -0.873 2.757
Ca 0.000 0.000 0.000
! V: 16.7 Å³ per atom
! Calculated density: 15.3 g/cm3
! DFT total energy: -7.116 eV per atom
! ΔE_f: 0.030 eV per atom